1.
Density functional theory data (SCAN) for a crystal of Li2Fe3TeO8 relaxed with PBEsol.

a b c (Å): 5.799 5.924 8.309
angles (deg): 86.18 90.00 90.00
Fractional coordinates of all 28 atoms:
Fe1 0.761 0.750 0.250
Fe2 0.000 0.500 0.500
O1 0.464 0.003 0.748
O2 0.763 0.779 0.020
Fe3 0.000 0.000 0.000
Te1 0.240 0.750 0.750
O3 0.012 0.010 0.767
O4 0.230 0.733 0.511
O5 0.012 0.490 0.733
Li1 0.748 0.987 0.617
Te2 0.760 0.250 0.250
O6 0.763 0.721 0.480
Fe4 0.500 0.000 0.000
Fe5 0.500 0.500 0.500
O7 0.464 0.497 0.752
O8 0.988 0.510 0.267
Fe6 0.239 0.250 0.750
Li2 0.252 0.487 0.117
O9 0.237 0.279 0.520
O10 0.770 0.233 0.011
O11 0.230 0.767 0.989
Li3 0.748 0.513 0.883
Li4 0.252 0.013 0.383
O12 0.237 0.221 0.980
O13 0.536 0.997 0.252
O14 0.770 0.267 0.489
O15 0.988 0.990 0.233
O16 0.536 0.503 0.248

Output
Magnetization, μB per atom: 0.43
ΔE to the lowest computed polymorph, meV/atom: 10.8
Formation energy without anion corrections, eV per atom: -1.624
Symmetry: No. 13
Calculated total energy, eV/cell: -338.0

2.
Density functional theory data (SCAN) for a crystal of TaSbIr2Cl relaxed with PBEsol.

a b c (Å): 4.546 4.848 4.848
angles (deg): 90.00 90.00 90.00
Fractional coordinates of all 5 atoms:
Ir1 0.000 0.500 0.000
Cl1 0.500 0.000 0.000
Ir2 0.000 0.000 0.500
Sb1 0.500 0.500 0.500
Ta1 0.000 0.000 0.000

Output
Magnetization, μB per atom: 0.00
Formation energy without anion corrections, eV per atom: 0.851
Symmetry: No. 123
Calculated total energy, eV/cell: -249.8

Which of these has the lowest magnetization?
TaSbIr2Cl

Please write out number 2 again, unchanged.
Density functional theory data (SCAN) for a crystal of TaSbIr2Cl relaxed with PBEsol.

a b c (Å): 4.546 4.848 4.848
angles (deg): 90.00 90.00 90.00
Fractional coordinates of all 5 atoms:
Ir1 0.000 0.500 0.000
Cl1 0.500 0.000 0.000
Ir2 0.000 0.000 0.500
Sb1 0.500 0.500 0.500
Ta1 0.000 0.000 0.000

Output
Magnetization, μB per atom: 0.00
Formation energy without anion corrections, eV per atom: 0.851
Symmetry: No. 123
Calculated total energy, eV/cell: -249.8